# 1
Below is a relaxed Y3TmTh2Bi6 crystal, with properties calculated at the PBE level.

Output
* DFT total energy: -142.5 eV/cell

The structure in CIF format:
```
data_Y3TmTh2Bi6
_chemical_formula_sum 'Y6 Tm2 Th4 Bi12'
_space_group_name_H-M_alt 'C 1 2/m 1'
_space_group_IT_number 12
_space_group_name_Hall '-C 2y'
_cell_length_a 7.822
_cell_length_b 13.572
_cell_length_c 7.805
_cell_angle_alpha 90.00
_cell_angle_beta 109.58
_cell_angle_gamma 90.00
loop_
_atom_site_label
_atom_site_type_symbol
_atom_site_fract_x
_atom_site_fract_y
_atom_site_fract_z
_atom_site_occupancy
Y1 Y 0.000 0.000 0.000 1
Y2 Y 0.000 0.329 0.000 1
Tm1 Tm 0.000 0.500 0.500 1
Th1 Th 0.000 0.165 0.500 1
Bi1 Bi 0.240 0.500 0.242 1
Bi2 Bi 0.247 0.337 0.753 1
```

# 2
Below is a relaxed YTm2ThBi5 crystal, with properties calculated at the PBE level.

Output
* DFT total energy: -39.7 eV/cell

The structure in CIF format:
```
data_YTm2ThBi5
_chemical_formula_sum 'Y1 Tm2 Th1 Bi5'
_space_group_name_H-M_alt 'P 4/m m m'
_space_group_IT_number 123
_space_group_name_Hall '-P 4 2'
_cell_length_a 5.724
_cell_length_b 5.724
_cell_length_c 11.931
_cell_angle_alpha 90.00
_cell_angle_beta 90.00
_cell_angle_gamma 90.00
loop_
_atom_site_label
_atom_site_type_symbol
_atom_site_fract_x
_atom_site_fract_y
_atom_site_fract_z
_atom_site_occupancy
Y1 Y 0.000 0.000 0.000 1
Tm1 Tm 0.500 0.500 0.265 1
Th1 Th 0.000 0.000 0.500 1
Bi1 Bi 0.000 0.000 0.241 1
Bi2 Bi 0.000 0.500 0.500 1
Bi3 Bi 0.500 0.500 0.000 1
```

# 3
Below is a relaxed Y3Tm2ThBi6 crystal, with properties calculated at the PBE level.

Output
* DFT total energy: -137.5 eV/cell

The structure in CIF format:
```
data_Y3Tm2ThBi6
_chemical_formula_sum 'Y6 Tm4 Th2 Bi12'
_space_group_name_H-M_alt 'C 1 2/m 1'
_space_group_IT_number 12
_space_group_name_Hall '-C 2y'
_cell_length_a 7.773
_cell_length_b 13.455
_cell_length_c 7.781
_cell_angle_alpha 90.00
_cell_angle_beta 109.52
_cell_angle_gamma 90.00
loop_
_atom_site_label
_atom_site_type_symbol
_atom_site_fract_x
_atom_site_fract_y
_atom_site_fract_z
_atom_site_occupancy
Y1 Y 0.000 0.000 0.000 1
Y2 Y 0.000 0.336 0.000 1
Tm1 Tm 0.000 0.168 0.500 1
Th1 Th 0.000 0.500 0.500 1
Bi1 Bi 0.242 0.000 0.748 1
Bi2 Bi 0.246 0.170 0.249 1
```

# 4
Below is a relaxed YTm3Th2Bi6 crystal, with properties calculated at the PBE level.

Output
* DFT total energy: -133.5 eV/cell

The structure in CIF format:
```
data_YTm3Th2Bi6
_chemical_formula_sum 'Y2 Tm6 Th4 Bi12'
_space_group_name_H-M_alt 'C 1 2/m 1'
_space_group_IT_number 12
_space_group_name_Hall '-C 2y'
_cell_length_a 19.586
_cell_length_b 4.507
_cell_length_c 8.983
_cell_angle_alpha 90.00
_cell_angle_beta 103.10
_cell_angle_gamma 90.00
loop_
_atom_site_label
_atom_site_type_symbol
_atom_site_fract_x
_atom_site_fract_y
_atom_site_fract_z
_atom_site_occupancy
Y1 Y 0.000 0.000 0.000 1
Tm1 Tm 0.000 0.000 0.500 1
Tm2 Tm 0.167 0.500 0.834 1
Th1 Th 0.165 0.500 0.331 1
Bi1 Bi 0.004 0.500 0.749 1
Bi2 Bi 0.164 0.000 0.590 1
Bi3 Bi 0.167 0.000 0.074 1
```

# 5
Below is a relaxed YTm2Th3Bi6 crystal, with properties calculated at the PBE level.

Output
* DFT total energy: -138.4 eV/cell

The structure in CIF format:
```
data_YTm2Th3Bi6
_chemical_formula_sum 'Y2 Tm4 Th6 Bi12'
_space_group_name_H-M_alt 'C 1 2/m 1'
_space_group_IT_number 12
_space_group_name_Hall '-C 2y'
_cell_length_a 19.711
_cell_length_b 4.531
_cell_length_c 9.020
_cell_angle_alpha 90.00
_cell_angle_beta 103.03
_cell_angle_gamma 90.00
loop_
_atom_site_label
_atom_site_type_symbol
_atom_site_fract_x
_atom_site_fract_y
_atom_site_fract_z
_atom_site_occupancy
Y1 Y 0.000 0.000 0.000 1
Tm1 Tm 0.167 0.500 0.333 1
Th1 Th 0.000 0.000 0.500 1
Th2 Th 0.166 0.500 0.833 1
Bi1 Bi 0.003 0.500 0.245 1
Bi2 Bi 0.165 0.000 0.091 1
Bi3 Bi 0.170 0.000 0.576 1
```

# 6
Below is a relaxed Y2TmTh3Bi6 crystal, with properties calculated at the PBE level.

Output
* DFT total energy: -142.9 eV/cell

The structure in CIF format:
```
data_Y2TmTh3Bi6
_chemical_formula_sum 'Y4 Tm2 Th6 Bi12'
_space_group_name_H-M_alt 'C 1 2/m 1'
_space_group_IT_number 12
_space_group_name_Hall '-C 2y'
_cell_length_a 19.748
_cell_length_b 4.540
_cell_length_c 9.035
_cell_angle_alpha 90.00
_cell_angle_beta 103.01
_cell_angle_gamma 90.00
loop_
_atom_site_label
_atom_site_type_symbol
_atom_site_fract_x
_atom_site_fract_y
_atom_site_fract_z
_atom_site_occupancy
Y1 Y 0.167 0.000 0.333 1
Tm1 Tm 0.000 0.500 0.000 1
Th1 Th 0.000 0.500 0.500 1
Th2 Th 0.168 0.000 0.833 1
Bi1 Bi 0.002 0.000 0.242 1
Bi2 Bi 0.163 0.500 0.087 1
Bi3 Bi 0.169 0.500 0.578 1
```

# 7
Below is a relaxed ThUBi2 crystal, with properties calculated at the PBE level.

Output
* relative energy among the computed polymorphs: 4.2 kJ per mole of atoms

The structure in CIF format:
```
data_ThUBi2
_chemical_formula_sum 'Th4 U4 Bi8'
_space_group_name_H-M_alt 'F m -3 m'
_space_group_IT_number 225
_space_group_name_Hall '-F 4 2 3'
_cell_length_a 7.810
_cell_length_b 7.810
_cell_length_c 7.810
_cell_angle_alpha 90.00
_cell_angle_beta 90.00
_cell_angle_gamma 90.00
loop_
_atom_site_label
_atom_site_type_symbol
_atom_site_fract_x
_atom_site_fract_y
_atom_site_fract_z
_atom_site_occupancy
Th1 Th 0.000 0.000 0.000 1
U1 U 0.000 0.000 0.500 1
Bi1 Bi 0.250 0.250 0.250 1
```

# 8
Below is a relaxed ThUBi2 crystal, with properties calculated at the PBE level.

Output
* relative energy among the computed polymorphs: 0.5 kJ per mole of atoms

The structure in CIF format:
```
data_ThUBi2
_chemical_formula_sum 'Th1 U1 Bi2'
_space_group_name_H-M_alt 'P 4/m m m'
_space_group_IT_number 123
_space_group_name_Hall '-P 4 2'
_cell_length_a 3.857
_cell_length_b 3.857
_cell_length_c 7.909
_cell_angle_alpha 90.00
_cell_angle_beta 90.00
_cell_angle_gamma 90.00
loop_
_atom_site_label
_atom_site_type_symbol
_atom_site_fract_x
_atom_site_fract_y
_atom_site_fract_z
_atom_site_occupancy
Th1 Th 0.000 0.000 0.000 1
U1 U 0.000 0.000 0.500 1
Bi1 Bi 0.500 0.500 0.257 1
```

Sequential magnetization output: 0.000; 0.000; 0.000; 0.000; 0.000; 0.000; 0.893; 0.760 μB per atom